(1)
! La2Ga4Rh3 PBE relaxed; values from VASP
! E_tot: -5.58 eV/atom
! Symmetry: Fmmm, No. 69
! DFT formation energy: -6.236 eV/f.u.
&SYSTEM
  ibrav = 0, nat = 9, ntyp = 3
/
ATOMIC_SPECIES
Rh 102.91 Rh.upf
Ga 69.72 Ga.upf
La 138.91 La.upf
ATOMIC_POSITIONS angstrom
Rh 0.000 0.000 0.000
Rh -0.017 -0.134 -2.816
Rh -0.946 -2.167 1.536
Ga 0.282 -4.423 1.598
Ga 3.474 -3.073 2.910
Ga 1.500 -1.759 -4.105
Ga 4.692 -0.410 -2.793
La 0.522 -2.934 -1.259
La 4.452 -1.899 0.064
CELL_PARAMETERS angstrom
-1.892 -4.333 3.071
-0.034 -0.268 -5.632
6.899 -0.232 1.365

---

(2)
! KCuHg2Br6 PBE relaxed; values from VASP
! E_tot: -2.25 eV/atom
! Symmetry: P1, No. 1
&SYSTEM
  ibrav = 0, nat = 10, ntyp = 4
/
ATOMIC_SPECIES
Br 79.90 Br.upf
K 39.10 K.upf
Cu 63.55 Cu.upf
Hg 200.59 Hg.upf
ATOMIC_POSITIONS angstrom
Br 7.285 1.477 2.810
Br 9.842 2.136 6.314
Br 9.111 5.843 5.547
Br 6.850 5.570 1.570
Br 6.015 3.620 6.031
Br 3.210 3.329 1.827
K 12.405 5.888 4.745
Cu 8.395 3.933 6.918
Hg 8.678 3.976 2.189
Hg 12.137 1.766 7.725
CELL_PARAMETERS angstrom
7.921 0.074 0.798
4.064 6.576 -0.617
4.664 1.087 7.453